1.
## SrCuSi2 (GGA-PBE)

Data for a geometry-optimized SrCuSi2 structure.

Summary:
raw formation energy: 7.09 kcal/mol of atoms
DOS(E_F): 2.095 states/eV/cell
magnetization: 0.00 μB/atom
crystal system: cubic
DFT total energy: -15.4 eV/cell

Lattice parameters (Å, degrees): 4.8018 4.8018 4.8018 60.00 60.00 60.00
Fractional positions:
1 Si 0.0000 0.0000 0.0000
2 Si 0.7500 0.7500 0.7500
3 Sr 0.2500 0.2500 0.2500
4 Cu 0.5000 0.5000 0.5000

=====

2.
## POsN2 (GGA-PBE)

Data for a geometry-optimized POsN2 structure.

Summary:
raw formation energy: 10.39 kcal/mol of atoms
DOS(E_F): 0.975 states/eV/cell
magnetization: 0.00 μB/atom
crystal system: triclinic
DFT total energy: -31.5 eV/cell

Lattice parameters (Å, degrees): 2.7320 3.2102 7.0913 99.51 95.20 112.39
Fractional positions:
1 N 0.1855 0.6896 0.4103
2 N 0.3350 0.0472 0.9375
3 Os 0.5459 0.3415 0.5239
4 P 0.7703 0.9695 0.8056

=====

3.
## Er4SbSe2S (GGA-PBE)

Data for a geometry-optimized Er4SbSe2S structure.

Summary:
raw formation energy: -36.56 kcal/mol of atoms
DOS(E_F): 6.671 states/eV/cell
magnetization: 0.00 μB/atom
crystal system: orthorhombic
DFT total energy: -92.3 eV/cell

Lattice parameters (Å, degrees): 8.1752 8.1752 8.1399 119.86 119.86 90.06
Fractional positions:
1 Er 0.7628 0.2738 0.0183
2 Er 0.2262 0.7372 0.4817
3 Er 0.7605 0.7395 0.0118
4 Er 0.7738 0.2628 0.5183
5 Er 0.7605 0.7395 0.4882
6 Er 0.2395 0.2605 0.5118
7 Er 0.2395 0.2605 0.9882
8 Er 0.2372 0.7262 0.9817
9 Se 0.5000 0.0000 0.5000
10 Se 0.0000 0.0000 0.5000
11 Se 0.5000 0.5000 0.0000
12 Se 0.5000 0.0000 0.0000
13 S 0.0000 0.5000 0.5000
14 S 0.0000 0.5000 0.0000
15 Sb 0.5000 0.5000 0.5000
16 Sb 0.0000 0.0000 0.0000